{
  "formula": "Ba2ZnRh",
  "functional": "SCAN",
  "state": "PBEsol geometry",
  "e_tot_ev_per_cell": -127.5,
  "formation_energy_mev_per_atom": -267,
  "lattice": [[4.435, 0.000, 0.000], [0.000, 2.299, 5.945], [0.000, -2.299, 5.945]],
  "species": ["Ba", "Ba", "Zn", "Rh"],
  "fractional_positions": [[0.000, 0.000, 0.000], [0.500, 0.280, 0.280], [0.500, 0.586, 0.586], [0.000, 0.688, 0.688]]
}